No. 1
YTaNi2: single point on PBEsol structure, meta-GGA SCAN.

```
data_YTaNi2
_symmetry_space_group_name_H-M 'R -3 m'
_symmetry_Int_Tables_number 166
_symmetry_space_group_name_Hall '-R 3 2"'
_cell_length_a 4.1969
_cell_length_b 4.1969
_cell_length_c 13.8752
_cell_angle_alpha 90.00
_cell_angle_beta 90.00
_cell_angle_gamma 120.00
loop_
_atom_site_label
_atom_site_type_symbol
_atom_site_fract_x
_atom_site_fract_y
_atom_site_fract_z
Y1 Y 0.0000 0.0000 0.0000
Ta1 Ta 0.0000 0.0000 0.5000
Ni1 Ni 0.0000 0.0000 0.2020
```

Summary:
* total energy: -1.175 hartree per atom

=====

No. 2
Y3TaNi: single point on PBEsol structure, meta-GGA SCAN.

```
data_Y3TaNi
_symmetry_space_group_name_H-M 'P m -3 m'
_symmetry_Int_Tables_number 221
_symmetry_space_group_name_Hall '-P 4 2 3'
_cell_length_a 5.0371
_cell_length_b 5.0371
_cell_length_c 5.0371
_cell_angle_alpha 90.00
_cell_angle_beta 90.00
_cell_angle_gamma 90.00
loop_
_atom_site_label
_atom_site_type_symbol
_atom_site_fract_x
_atom_site_fract_y
_atom_site_fract_z
Y1 Y 0.0000 0.0000 0.5000
Ta1 Ta 0.5000 0.5000 0.5000
Ni1 Ni 0.0000 0.0000 0.0000
```

Summary:
* total energy: -1.203 hartree per atom

=====

No. 3
YTaNi2: single point on PBEsol structure, meta-GGA SCAN.

```
data_YTaNi2
_symmetry_space_group_name_H-M 'P 4/m m m'
_symmetry_Int_Tables_number 123
_symmetry_space_group_name_Hall '-P 4 2'
_cell_length_a 3.1321
_cell_length_b 3.1321
_cell_length_c 6.6419
_cell_angle_alpha 90.00
_cell_angle_beta 90.00
_cell_angle_gamma 90.00
loop_
_atom_site_label
_atom_site_type_symbol
_atom_site_fract_x
_atom_site_fract_y
_atom_site_fract_z
Y1 Y 0.0000 0.0000 0.0000
Ta1 Ta 0.0000 0.0000 0.5000
Ni1 Ni 0.5000 0.5000 0.3042
```

Summary:
* total energy: -1.174 hartree per atom

=====

No. 4
YTa2Ni: single point on PBEsol structure, meta-GGA SCAN.

```
data_YTa2Ni
_symmetry_space_group_name_H-M 'R 3 m'
_symmetry_Int_Tables_number 160
_symmetry_space_group_name_Hall 'R 3 -2"'
_cell_length_a 3.0890
_cell_length_b 3.0890
_cell_length_c 26.7564
_cell_angle_alpha 90.00
_cell_angle_beta 90.00
_cell_angle_gamma 120.00
loop_
_atom_site_label
_atom_site_type_symbol
_atom_site_fract_x
_atom_site_fract_y
_atom_site_fract_z
Y1 Y 0.0000 0.0000 0.0000
Ta1 Ta 0.0000 0.0000 0.5150
Ta2 Ta 0.0000 0.0000 0.7645
Ni1 Ni 0.0000 0.0000 0.2483
```

Summary:
* total energy: -1.615 hartree per atom

=====

No. 5
YTaNi: single point on PBEsol structure, meta-GGA SCAN.

```
data_YTaNi
_symmetry_space_group_name_H-M 'I 4 m m'
_symmetry_Int_Tables_number 107
_symmetry_space_group_name_Hall 'I 4 -2'
_cell_length_a 3.1445
_cell_length_b 3.1445
_cell_length_c 11.2487
_cell_angle_alpha 90.00
_cell_angle_beta 90.00
_cell_angle_gamma 90.00
loop_
_atom_site_label
_atom_site_type_symbol
_atom_site_fract_x
_atom_site_fract_y
_atom_site_fract_z
Y1 Y 0.0000 0.0000 0.0000
Ta1 Ta 0.0000 0.0000 0.2995
Ni1 Ni 0.0000 0.0000 0.6929
```

Summary:
* total energy: -1.356 hartree per atom

=====

No. 6
TaZn2Ni: single point on PBEsol structure, meta-GGA SCAN.

```
data_TaZn2Ni
_symmetry_space_group_name_H-M 'P 4 m m'
_symmetry_Int_Tables_number 99
_cell_length_a 2.8553
_cell_length_b 2.8553
_cell_length_c 6.7026
_cell_angle_alpha 90.00
_cell_angle_beta 90.00
_cell_angle_gamma 90.00
loop_
_symmetry_equiv_pos_as_xyz
'x,y,z'
'-y,x,z'
'-x,-y,z'
'y,-x,z'
'-x,y,z'
'y,x,z'
'x,-y,z'
'-y,-x,z'
loop_
_atom_site_label
_atom_site_type_symbol
_atom_site_fract_x
_atom_site_fract_y
_atom_site_fract_z
Ta1 Ta 0.0000 0.0000 0.0000
Zn1 Zn 0.0000 0.0000 0.5366
Zn2 Zn 0.5000 0.5000 0.2884
Ni1 Ni 0.5000 0.5000 0.7497
```

Summary:
* total energy: -1.013 hartree per atom

=====

No. 7
TaZnNi2: single point on PBEsol structure, meta-GGA SCAN.

```
data_TaZnNi2
_symmetry_space_group_name_H-M 'C 1 2/m 1'
_symmetry_Int_Tables_number 12
_cell_length_a 8.2846
_cell_length_b 2.6927
_cell_length_c 4.7212
_cell_angle_alpha 90.00
_cell_angle_beta 100.28
_cell_angle_gamma 90.00
loop_
_symmetry_equiv_pos_as_xyz
'x,y,z'
'-x,-y,-z'
'-x,y,-z'
'x,-y,z'
'x+1/2,y+1/2,z'
'-x+1/2,-y+1/2,-z'
'-x+1/2,y+1/2,-z'
'x+1/2,-y+1/2,z'
loop_
_atom_site_label
_atom_site_type_symbol
_atom_site_fract_x
_atom_site_fract_y
_atom_site_fract_z
Ta1 Ta 0.0000 0.0000 0.0000
Zn1 Zn 0.0000 0.5000 0.5000
Ni1 Ni 0.2450 0.0000 0.7464
```

Summary:
* total energy: -1.035 hartree per atom

=====

No. 8
TaZnNi2: single point on PBEsol structure, meta-GGA SCAN.

```
data_TaZnNi2
_symmetry_space_group_name_H-M 'P 1 m 1'
_symmetry_Int_Tables_number 6
_cell_length_a 2.6639
_cell_length_b 4.1293
_cell_length_c 4.7927
_cell_angle_alpha 90.00
_cell_angle_beta 102.18
_cell_angle_gamma 90.00
loop_
_symmetry_equiv_pos_as_xyz
'x,y,z'
'x,-y,z'
loop_
_atom_site_label
_atom_site_type_symbol
_atom_site_fract_x
_atom_site_fract_y
_atom_site_fract_z
Ta1 Ta 0.0000 0.0000 0.0000
Zn1 Zn 0.7291 0.5000 0.3518
Ni1 Ni 0.3451 0.0000 0.5158
Ni2 Ni 0.4241 0.5000 0.8128
```

Summary:
* total energy: -1.037 hartree per atom

=====

No. 9
TaZnNi: single point on PBEsol structure, meta-GGA SCAN.

```
data_TaZnNi
_symmetry_space_group_name_H-M 'P -6 m 2'
_symmetry_Int_Tables_number 187
_symmetry_space_group_name_Hall 'P -6 2'
_cell_length_a 4.1973
_cell_length_b 4.1973
_cell_length_c 2.6589
_cell_angle_alpha 90.00
_cell_angle_beta 90.00
_cell_angle_gamma 120.00
loop_
_atom_site_label
_atom_site_type_symbol
_atom_site_fract_x
_atom_site_fract_y
_atom_site_fract_z
Ta1 Ta 0.0000 0.0000 0.0000
Zn1 Zn 0.6667 0.3333 0.5000
Ni1 Ni 0.3333 0.6667 0.5000
```

Summary:
* total energy: -1.186 hartree per atom

=====

No. 10
Ta2ZnNi: single point on PBEsol structure, meta-GGA SCAN.

```
data_Ta2ZnNi
_symmetry_space_group_name_H-M 'I -4 m 2'
_symmetry_Int_Tables_number 119
_symmetry_space_group_name_Hall 'I -4 -2'
_cell_length_a 3.7390
_cell_length_b 3.7390
_cell_length_c 8.4811
_cell_angle_alpha 90.00
_cell_angle_beta 90.00
_cell_angle_gamma 90.00
loop_
_atom_site_label
_atom_site_type_symbol
_atom_site_fract_x
_atom_site_fract_y
_atom_site_fract_z
Ta1 Ta 0.0000 0.0000 0.0000
Ta2 Ta 0.0000 0.5000 0.2500
Zn1 Zn 0.0000 0.0000 0.5000
Ni1 Ni 0.0000 0.5000 0.7500
```

Summary:
* total energy: -1.494 hartree per atom

=====

No. 11
TaZn2Ni: single point on PBEsol structure, meta-GGA SCAN.

```
data_TaZn2Ni
_symmetry_space_group_name_H-M 'F m -3 m'
_symmetry_Int_Tables_number 225
_symmetry_space_group_name_Hall '-F 4 2 3'
_cell_length_a 6.0047
_cell_length_b 6.0047
_cell_length_c 6.0047
_cell_angle_alpha 90.00
_cell_angle_beta 90.00
_cell_angle_gamma 90.00
loop_
_atom_site_label
_atom_site_type_symbol
_atom_site_fract_x
_atom_site_fract_y
_atom_site_fract_z
Ta1 Ta 0.0000 0.0000 0.0000
Zn1 Zn 0.2500 0.2500 0.2500
Ni1 Ni 0.0000 0.0000 0.5000
```

Summary:
* total energy: -1.004 hartree per atom

=====

No. 12
TaZn2Ni: single point on PBEsol structure, meta-GGA SCAN.

```
data_TaZn2Ni
_symmetry_space_group_name_H-M 'C 1 m 1'
_symmetry_Int_Tables_number 8
_cell_length_a 8.6198
_cell_length_b 2.6677
_cell_length_c 4.8954
_cell_angle_alpha 90.00
_cell_angle_beta 99.62
_cell_angle_gamma 90.00
loop_
_symmetry_equiv_pos_as_xyz
'x,y,z'
'x,-y,z'
'x+1/2,y+1/2,z'
'x+1/2,-y+1/2,z'
loop_
_atom_site_label
_atom_site_type_symbol
_atom_site_fract_x
_atom_site_fract_y
_atom_site_fract_z
Ta1 Ta 0.0000 0.0000 0.0000
Zn1 Zn 0.2387 0.0000 0.6885
Zn2 Zn 0.4874 0.0000 0.4865
Ni1 Ni 0.2529 0.5000 0.2029
```

Summary:
* total energy: -1.009 hartree per atom

=====

No. 13
Ta2ZnNi: single point on PBEsol structure, meta-GGA SCAN.

```
data_Ta2ZnNi
_symmetry_space_group_name_H-M 'P 4 m m'
_symmetry_Int_Tables_number 99
_cell_length_a 2.7883
_cell_length_b 2.7883
_cell_length_c 7.5806
_cell_angle_alpha 90.00
_cell_angle_beta 90.00
_cell_angle_gamma 90.00
loop_
_symmetry_equiv_pos_as_xyz
'x,y,z'
'-y,x,z'
'-x,-y,z'
'y,-x,z'
'-x,y,z'
'y,x,z'
'x,-y,z'
'-y,-x,z'
loop_
_atom_site_label
_atom_site_type_symbol
_atom_site_fract_x
_atom_site_fract_y
_atom_site_fract_z
Ta1 Ta 0.0000 0.0000 0.0000
Ta2 Ta 0.5000 0.5000 0.3023
Zn1 Zn 0.5000 0.5000 0.7343
Ni1 Ni 0.0000 0.0000 0.5352
```

Summary:
* total energy: -1.500 hartree per atom

=====

No. 14
TaZnNi2: single point on PBEsol structure, meta-GGA SCAN.

```
data_TaZnNi2
_symmetry_space_group_name_H-M 'P 4 m m'
_symmetry_Int_Tables_number 99
_cell_length_a 2.9050
_cell_length_b 2.9050
_cell_length_c 6.0683
_cell_angle_alpha 90.00
_cell_angle_beta 90.00
_cell_angle_gamma 90.00
loop_
_symmetry_equiv_pos_as_xyz
'x,y,z'
'-y,x,z'
'-x,-y,z'
'y,-x,z'
'-x,y,z'
'y,x,z'
'x,-y,z'
'-y,-x,z'
loop_
_atom_site_label
_atom_site_type_symbol
_atom_site_fract_x
_atom_site_fract_y
_atom_site_fract_z
Ta1 Ta 0.0000 0.0000 0.0000
Zn1 Zn 0.5000 0.5000 0.3138
Ni1 Ni 0.0000 0.0000 0.5274
Ni2 Ni 0.5000 0.5000 0.7429
```

Summary:
* total energy: -1.035 hartree per atom

=====

No. 15
TaZnNi2: single point on PBEsol structure, meta-GGA SCAN.

```
data_TaZnNi2
_symmetry_space_group_name_H-M 'P 4/m m m'
_symmetry_Int_Tables_number 123
_symmetry_space_group_name_Hall '-P 4 2'
_cell_length_a 2.7286
_cell_length_b 2.7286
_cell_length_c 6.8113
_cell_angle_alpha 90.00
_cell_angle_beta 90.00
_cell_angle_gamma 90.00
loop_
_atom_site_label
_atom_site_type_symbol
_atom_site_fract_x
_atom_site_fract_y
_atom_site_fract_z
Ta1 Ta 0.0000 0.0000 0.0000
Zn1 Zn 0.0000 0.0000 0.5000
Ni1 Ni 0.5000 0.5000 0.2691
```

Summary:
* total energy: -1.042 hartree per atom

=====

No. 16
ZrTa2Ni2: single point on PBEsol structure, meta-GGA SCAN.

```
data_ZrTa2Ni2
_symmetry_space_group_name_H-M 'I 4/m m m'
_symmetry_Int_Tables_number 139
_symmetry_space_group_name_Hall '-I 4 2'
_cell_length_a 3.9163
_cell_length_b 3.9163
_cell_length_c 10.7226
_cell_angle_alpha 90.00
_cell_angle_beta 90.00
_cell_angle_gamma 90.00
loop_
_atom_site_label
_atom_site_type_symbol
_atom_site_fract_x
_atom_site_fract_y
_atom_site_fract_z
Zr1 Zr 0.0000 0.0000 0.0000
Ta1 Ta 0.0000 0.5000 0.2500
Ni1 Ni 0.0000 0.0000 0.3977
```

Summary:
* total energy: -1.445 hartree per atom

=====

No. 17
ZrTaNi: single point on PBEsol structure, meta-GGA SCAN.

```
data_ZrTaNi
_symmetry_space_group_name_H-M 'I 4 m m'
_symmetry_Int_Tables_number 107
_symmetry_space_group_name_Hall 'I 4 -2'
_cell_length_a 3.0488
_cell_length_b 3.0488
_cell_length_c 10.8069
_cell_angle_alpha 90.00
_cell_angle_beta 90.00
_cell_angle_gamma 90.00
loop_
_atom_site_label
_atom_site_type_symbol
_atom_site_fract_x
_atom_site_fract_y
_atom_site_fract_z
Zr1 Zr 0.0000 0.0000 0.0000
Ta1 Ta 0.0000 0.0000 0.6955
Ni1 Ni 0.0000 0.0000 0.3217
```

Summary:
* total energy: -1.396 hartree per atom

=====

No. 18
Zr2TaNi: single point on PBEsol structure, meta-GGA SCAN.

```
data_Zr2TaNi
_symmetry_space_group_name_H-M 'R -3 m'
_symmetry_Int_Tables_number 166
_symmetry_space_group_name_Hall '-R 3 2"'
_cell_length_a 3.0968
_cell_length_b 3.0968
_cell_length_c 26.3676
_cell_angle_alpha 90.00
_cell_angle_beta 90.00
_cell_angle_gamma 120.00
loop_
_atom_site_label
_atom_site_type_symbol
_atom_site_fract_x
_atom_site_fract_y
_atom_site_fract_z
Zr1 Zr 0.0000 0.0000 0.2419
Ta1 Ta 0.0000 0.0000 0.0000
Ni1 Ni 0.0000 0.0000 0.5000
```

Summary:
* total energy: -1.320 hartree per atom

=====

No. 19
Zr2TaNi: single point on PBEsol structure, meta-GGA SCAN.

```
data_Zr2TaNi
_symmetry_space_group_name_H-M 'I m m 2'
_symmetry_Int_Tables_number 44
_cell_length_a 3.3333
_cell_length_b 4.5737
_cell_length_c 9.3427
_cell_angle_alpha 90.00
_cell_angle_beta 90.00
_cell_angle_gamma 90.00
loop_
_symmetry_equiv_pos_as_xyz
'x,y,z'
'-x,-y,z'
'-x,y,z'
'x,-y,z'
'x+1/2,y+1/2,z+1/2'
'-x+1/2,-y+1/2,z+1/2'
'-x+1/2,y+1/2,z+1/2'
'x+1/2,-y+1/2,z+1/2'
loop_
_atom_site_label
_atom_site_type_symbol
_atom_site_fract_x
_atom_site_fract_y
_atom_site_fract_z
Zr1 Zr 0.0000 0.0000 0.0000
Zr2 Zr 0.0000 0.5000 0.2303
Ta1 Ta 0.0000 0.0000 0.4637
Ni1 Ni 0.0000 0.5000 0.7449
```

Summary:
* total energy: -1.325 hartree per atom

=====

No. 20
Zr2TaNi: single point on PBEsol structure, meta-GGA SCAN.

```
data_Zr2TaNi
_symmetry_space_group_name_H-M 'P 4 m m'
_symmetry_Int_Tables_number 99
_cell_length_a 3.0646
_cell_length_b 3.0646
_cell_length_c 7.6857
_cell_angle_alpha 90.00
_cell_angle_beta 90.00
_cell_angle_gamma 90.00
loop_
_symmetry_equiv_pos_as_xyz
'x,y,z'
'-y,x,z'
'-x,-y,z'
'y,-x,z'
'-x,y,z'
'y,x,z'
'x,-y,z'
'-y,-x,z'
loop_
_atom_site_label
_atom_site_type_symbol
_atom_site_fract_x
_atom_site_fract_y
_atom_site_fract_z
Zr1 Zr 0.0000 0.0000 0.0000
Zr2 Zr 0.5000 0.5000 0.3083
Ta1 Ta 0.5000 0.5000 0.7289
Ni1 Ni 0.0000 0.0000 0.5502
```

Summary:
* total energy: -1.328 hartree per atom